MnNiAs2O8: optimized geometry, GGA+U.

a b c (Å): 5.6474 5.6474 5.6474
angles (deg): 108.34 108.34 111.76
With the nearest neighbours (Å) after each atom.
Element x y z (fractional)
As 0.5000 0.5000 0.0000  4 O 1.73
O 0.8770 0.6882 0.1888  1 As 1.73
O 0.3118 0.1230 0.8112  1 As 1.73
O 0.3118 0.5005 0.1888  1 As 1.73
Mn 0.0000 0.0000 0.0000  8 O 2.09-2.34
O 0.3743 0.0645 0.3098  1 As 1.72
O 0.4995 0.6882 0.8112  1 As 1.73
O 0.9355 0.6257 0.6902  1 As 1.72
Ni 0.2500 0.7500 0.5000  4 O 2.09
O 0.9355 0.2453 0.3098  1 As 1.72
As 0.7500 0.2500 0.5000  4 O 1.72
O 0.7547 0.0645 0.6902  1 As 1.72

Symmetry   I-4m2
Calculated total energy   -70.46 eV per cell